# Nb2MoPtO | Alexandria | PBE with a Hubbard U | optimized geometry
# Spin magnetization: 0.42 μB per atom
# Energy: -7.87 eV per atom
# Crystal system: tetragonal
data_Nb2MoPtO
_symmetry_space_group_name_H-M 'P 4/m m m'
_symmetry_Int_Tables_number 123
_symmetry_space_group_name_Hall '-P 4 2'
_cell_length_a 4.184
_cell_length_b 4.184
_cell_length_c 4.523
_cell_angle_alpha 90.00
_cell_angle_beta 90.00
_cell_angle_gamma 90.00
loop_
_atom_site_label
_atom_site_type_symbol
_atom_site_fract_x
_atom_site_fract_y
_atom_site_fract_z
Nb1 Nb 0.000 0.500 0.000
Mo1 Mo 0.000 0.000 0.500
Pt1 Pt 0.500 0.500 0.500
O1 O 0.500 0.500 0.000